First-principles (PBE-GGA) data for K2GaHg6 after structural relaxation, as listed in Alexandria.

The energy of formation from the pure elements comes out at -0.20 eV per atom. Its total energy is -0.9788 eV per atom.

The space group is C2/m (No. 12) and the conventional cell measures 12.311, 7.141 and 6.108 Å, with angles of 90.00, 90.31 and 90.00 degrees. The asymmetric unit holds K at (0.168, 0.000, 0.325), Ga at (0.000, 0.500, 0.500), Hg at (0.089, 0.230, 0.819) and Hg at (0.179, 0.500, 0.180).

---

First-principles (PBE-GGA) data for KGaHg after structural relaxation, as listed in Alexandria.

The energy of formation from the pure elements comes out at -0.07 eV per atom. Its total energy is -1.5489 eV per atom. The energy above the lowest structure with this stoichiometry is 30 meV per atom.

The space group is I4mm (No. 107) and the conventional cell measures 3.840, 3.840 and 12.158 Å, with angles of 90.00, 90.00 and 90.00 degrees. The asymmetric unit holds K at (0.000, 0.000, 0.000), Ga at (0.000, 0.000, 0.707) and Hg at (0.000, 0.000, 0.293).

---

First-principles (PBE-GGA) data for KGa2Hg after structural relaxation, as listed in Alexandria.

The energy of formation from the pure elements comes out at -0.18 eV per atom. Its total energy is -2.0396 eV per atom.

The space group is P2_1/m (No. 11) and the conventional cell measures 4.666, 4.540 and 10.521 Å, with angles of 90.00, 100.16 and 90.00 degrees. The asymmetric unit holds K at (0.107, 0.250, 0.220), Ga at (0.198, 0.750, 0.498), Ga at (0.367, 0.250, 0.633) and Hg at (0.445, 0.250, 0.907).

---

First-principles (PBE-GGA) data for KGaHg3 after structural relaxation, as listed in Alexandria.

The energy of formation from the pure elements comes out at -0.10 eV per atom. Its total energy is -1.1100 eV per atom. The energy above the lowest structure with this stoichiometry is 64 meV per atom.

The space group is Pm-3m (No. 221) and the conventional cell measures 5.423, 5.423 and 5.423 Å, with angles of 90.00, 90.00 and 90.00 degrees. The asymmetric unit holds K at (0.000, 0.000, 0.000), Ga at (0.500, 0.500, 0.500) and Hg at (0.000, 0.500, 0.500).

---

First-principles (PBE-GGA) data for K3Ga2Hg9 after structural relaxation, as listed in Alexandria.

The energy of formation from the pure elements comes out at -0.16 eV per atom. Its total energy is -1.0243 eV per atom.

The space group is Immm (No. 71) and the conventional cell measures 5.432, 9.853 and 15.294 Å, with angles of 90.00, 90.00 and 90.00 degrees. The asymmetric unit holds K at (0.000, 0.000, 0.000), K at (0.000, 0.000, 0.277), Ga at (0.000, 0.147, 0.500), Hg at (0.000, 0.305, 0.154), Hg at (0.000, 0.346, 0.361) and Hg at (0.000, 0.500, 0.000).

---

First-principles (PBE-GGA) data for KGa2Hg after structural relaxation, as listed in Alexandria.

The energy of formation from the pure elements comes out at 0.02 eV per atom. Its total energy is -1.8412 eV per atom.

The space group is I-42d (No. 122) and the conventional cell measures 4.982, 4.982 and 20.434 Å, with angles of 90.00, 90.00 and 90.00 degrees. The asymmetric unit holds K at (0.000, 0.000, 0.000), Ga at (0.075, 0.250, 0.625) and Hg at (0.000, 0.000, 0.500).

---

First-principles (PBE-GGA) data for KGaHg4 after structural relaxation, as listed in Alexandria.

The energy of formation from the pure elements comes out at -0.12 eV per atom. Its total energy is -1.0081 eV per atom. The energy above the lowest structure with this stoichiometry is 1 meV per atom.

The space group is C2/m (No. 12) and the conventional cell measures 16.426, 7.697 and 5.716 Å, with angles of 90.00, 106.33 and 90.00 degrees. The asymmetric unit holds K at (0.211, 0.000, 0.144), Ga at (0.047, 0.500, 0.748), Hg at (0.000, 0.194, 0.000), Hg at (0.116, 0.196, 0.565) and Hg at (0.163, 0.500, 0.255).

---

First-principles (PBE-GGA) data for KGa2Hg10 after structural relaxation, as listed in Alexandria.

The energy of formation from the pure elements comes out at -0.03 eV per atom. Its total energy is -0.8134 eV per atom.

The space group is Fmmm (No. 69) and the conventional cell measures 5.986, 15.123 and 15.585 Å, with angles of 90.00, 90.00 and 90.00 degrees. The asymmetric unit holds K at (0.000, 0.000, 0.000), Ga at (0.250, 0.000, 0.250), Hg at (0.000, 0.106, 0.390), Hg at (0.000, 0.172, 0.182) and Hg at (0.250, 0.250, 0.000).